# CdOs2N PBE relaxed
# distance to the lowest polymorph of the same formula	0.0	meV per atom
# E_form (uncorrected)	0.77	eV/atom
# E	-7.156	eV/atom
data_CdOs2N
_chemical_formula_sum 'Cd4 Os8 N4'
_space_group_name_H-M_alt 'I -4 2 d'
_space_group_IT_number 122
_space_group_name_Hall 'I -4 2bw'
_cell_length_a 6.4954
_cell_length_b 6.4954
_cell_length_c 5.7545
_cell_angle_alpha 90.00
_cell_angle_beta 90.00
_cell_angle_gamma 90.00
loop_
_atom_site_label
_atom_site_type_symbol
_atom_site_fract_x
_atom_site_fract_y
_atom_site_fract_z
Cd1 Cd 0.0000 0.0000 0.0000
Os1 Os 0.1245 0.2500 0.6250
N1 N 0.0000 0.0000 0.5000

=====

# Cd2InTe2 PBE relaxed
# distance to the lowest polymorph of the same formula	31.0	meV per atom
# E_form (uncorrected)	-0.08	eV/atom
# E	-2.252	eV/atom
data_Cd2InTe2
_chemical_formula_sum 'Cd4 In2 Te4'
_space_group_name_H-M_alt 'I 4/m m m'
_space_group_IT_number 139
_space_group_name_Hall '-I 4 2'
_cell_length_a 5.7807
_cell_length_b 5.7807
_cell_length_c 9.2590
_cell_angle_alpha 90.00
_cell_angle_beta 90.00
_cell_angle_gamma 90.00
loop_
_atom_site_label
_atom_site_type_symbol
_atom_site_fract_x
_atom_site_fract_y
_atom_site_fract_z
Cd1 Cd 0.0000 0.0000 0.1548
In1 In 0.0000 0.0000 0.5000
Te1 Te 0.0000 0.5000 0.2500

=====

# AcAs2PbO8 PBE relaxed
# E_form (uncorrected)	-1.71	eV/atom
# E	-6.443	eV/atom
data_AcAs2PbO8
_chemical_formula_sum 'Ac2 As4 Pb2 O16'
_space_group_name_H-M_alt 'I -4'
_space_group_IT_number 82
_space_group_name_Hall 'I -4'
_cell_length_a 5.2776
_cell_length_b 5.2776
_cell_length_c 12.2731
_cell_angle_alpha 90.00
_cell_angle_beta 90.00
_cell_angle_gamma 90.00
loop_
_atom_site_label
_atom_site_type_symbol
_atom_site_fract_x
_atom_site_fract_y
_atom_site_fract_z
Ac1 Ac 0.0000 0.0000 0.0000
As1 As 0.0000 0.0000 0.5000
As2 As 0.0000 0.5000 0.2500
Pb1 Pb 0.0000 0.5000 0.7500
O1 O 0.1276 0.2458 0.5753
O2 O 0.1366 0.7407 0.1741